P | Computed, not measured: Dy4Ho3Tm5 after structural relaxation at the GGA-PBE level of DFT.

## Properties
As for the space group: C2/m, No. 12. For the spin magnetization, the calculation gives 0.56 μB per cell.

```
Dy4Ho3Tm5
1.0
7.905 -2.904 0.000
7.905 2.904 0.000
-4.094 0.000 8.210
Dy Ho Tm
4 3 5
direct
0.082 0.082 0.441
0.213 0.213 0.879
0.787 0.787 0.121
0.918 0.918 0.559
0.210 0.210 0.234
0.500 0.500 0.000
0.790 0.790 0.766
0.000 0.000 0.000
0.328 0.328 0.615
0.428 0.428 0.300
0.572 0.572 0.700
0.672 0.672 0.385
```

---

Q | Computed, not measured: Dy4Ho3Tm5 after structural relaxation at the GGA-PBE level of DFT.

## Properties
As for the space group: P-1, No. 2. For the spin magnetization, the calculation gives 0.00 μB per cell.

```
Dy4Ho3Tm5
1.0
6.072 0.000 0.000
0.011 7.022 0.000
0.007 0.003 8.582
Dy Ho Tm
4 3 5
direct
0.167 0.251 0.333
0.332 0.000 0.668
0.668 0.000 0.332
0.833 0.749 0.667
0.000 0.500 0.000
0.167 0.750 0.333
0.833 0.250 0.667
0.000 0.000 0.000
0.333 0.500 0.668
0.500 0.250 0.000
0.500 0.750 0.000
0.667 0.500 0.332
```

---

Which of them is the least stable? Correct choice: P.

---

P | Computed, not measured: DyHo2Tm5 after structural relaxation at the GGA-PBE level of DFT.

## Properties
As for the space group: I4/mmm, No. 139. For the spin magnetization, the calculation gives 0.00 μB per cell.

```
DyHo2Tm5
1.0
-3.495 3.495 4.940
3.495 -3.495 4.940
3.495 3.495 -4.940
Dy Ho Tm
1 2 5
direct
0.000 0.000 0.000
0.000 0.500 0.500
0.500 0.000 0.500
0.000 0.000 0.500
0.000 0.500 0.000
0.500 0.000 0.000
0.500 0.500 0.000
0.500 0.500 0.500
```

---

Q | Computed, not measured: DyHo2Tm5 after structural relaxation at the GGA-PBE level of DFT.

## Properties
As for the space group: P-1, No. 2. For the spin magnetization, the calculation gives 0.00 μB per cell.

```
DyHo2Tm5
1.0
6.527 0.000 0.000
3.196 8.068 0.000
0.971 -0.061 9.324
Dy Ho Tm
2 4 10
direct
0.038 0.417 0.250
0.962 0.583 0.750
0.277 0.633 0.425
0.401 0.373 0.926
0.599 0.627 0.074
0.723 0.367 0.575
0.020 0.024 0.340
0.023 0.794 0.055
0.311 0.205 0.549
0.400 0.711 0.753
0.447 0.013 0.162
0.553 0.987 0.838
0.600 0.289 0.247
0.689 0.795 0.451
0.977 0.206 0.945
0.980 0.976 0.660
```

---

Which of them is the least stable? Correct choice: Q.